Compound: ScCdSe3
Source: the Alexandria database
Functional: PBE
Structure: optimized geometry

```
ScCdSe3
1.0
5.1398 0.0000 0.0000
0.0000 5.1398 0.0000
0.0000 0.0000 5.1398
Sc Cd Se
1 1 3
Direct
0.0000 0.0000 0.0000 Sc
0.5000 0.5000 0.5000 Cd
0.0000 0.5000 0.5000 Se
0.5000 0.0000 0.5000 Se
0.5000 0.5000 0.0000 Se
```

Summary:
Calculated total energy ... -17.43 eV per cell
Polymorph energy (0 for the lowest one) ... 47.61 kJ per mole of atoms
Crystal system ... cubic
Energy relative to the elements, uncorrected ... 0.054 eV/atom
Symmetry ... Pm-3m (221)